# 1
This record from Alexandria via LeMat-Bulk describes a crystal of SrScFe2 relaxed with PBEsol. The functional is SCAN.

symmetry	P4/mmm (123)
DFT formation energy	346	meV/atom
DOS at the Fermi energy	5.21	states/eV/cell

```
4
Lattice="3.4599 0.0000 0.0000 0.0000 3.4599 0.0000 0.0000 0.0000 6.7033" Properties=species:S:1:pos:R:3 pbc="T T T"
Fe 0.0000 0.0000 5.5721
Fe 0.0000 0.0000 1.1312
Sc 1.7299 1.7299 0.0000
Sr 1.7299 1.7299 3.3517
```

# 2
This record from Alexandria via LeMat-Bulk describes a crystal of ScAl4Cd relaxed with PBEsol. The functional is SCAN.

symmetry	F-43m (216)
DFT formation energy	-121	meV/atom
DOS at the Fermi energy	3.92	states/eV/cell

```
6
Lattice="-4.0012 3.5784 -0.3324 -4.6539 -0.9271 2.5310 -1.3514 2.9302 4.3025" Properties=species:S:1:pos:R:3 pbc="T T T"
Al -6.0816 1.6272 3.7043
Al -4.4270 3.5597 4.5919
Al -5.7545 3.8845 2.2697
Al -3.7499 2.0916 2.4362
Cd -7.5049 4.1861 4.8758
Sc 0.0000 0.0000 0.0000
```

# 3
This record from Alexandria via LeMat-Bulk describes a crystal of Li2LuIn relaxed with PBEsol. The functional is SCAN.

symmetry	Fm-3m (225)
DFT formation energy	-325	meV/atom
DOS at the Fermi energy	0.78	states/eV/cell

```
4
Lattice="4.7185 0.0000 0.0000 2.3592 4.0863 0.0000 2.3592 1.3621 3.8526" Properties=species:S:1:pos:R:3 pbc="T T T"
Li 7.0777 4.0863 2.8895
Li 2.3592 1.3621 0.9632
Lu 0.0000 0.0000 0.0000
In 4.7185 2.7242 1.9263
```

# 4
This record from Alexandria via LeMat-Bulk describes a crystal of Zn2NiMo relaxed with PBEsol. The functional is SCAN.

E above lowest polymorph	0	meV per atom
symmetry	P4/mmm (123)
DFT formation energy	-27	meV/atom
DOS at the Fermi energy	2.37	states/eV/cell

```
4
Lattice="-0.4805 1.2059 -2.3131 -0.8563 -2.2946 -1.0184 -6.8118 1.5544 2.2253" Properties=species:S:1:pos:R:3 pbc="T T T"
Zn -1.8951 0.4324 0.6191
Zn -4.9167 1.1219 1.6062
Mo -0.6684 -0.5443 -1.6657
Ni -4.0743 0.2328 -0.5531
```

# 5
This record from Alexandria via LeMat-Bulk describes a crystal of Rb2Tl2Cl relaxed with PBEsol. The functional is SCAN.

formation energy (no corrections)	-84	kJ/mol of atoms
symmetry	I4/mmm (139)
DOS at the Fermi energy	1.41	states/eV/cell

```
5
Lattice="-3.6107 0.2034 -2.2521 -0.9027 -4.0200 1.0842 -2.6891 5.2385 8.8142" Properties=species:S:1:pos:R:3 pbc="T T T"
Tl -2.9242 -0.3449 4.6572
Tl -4.2783 1.7668 2.9891
Rb -4.0620 2.7351 6.7596
Rb -3.1405 -1.3133 0.8867
Cl 0.0000 0.0000 0.0000
```

# 6
This record from Alexandria via LeMat-Bulk describes a crystal of CoRh relaxed with PBEsol. The functional is SCAN.

symmetry	P-6m2 (187)
DFT formation energy	29	meV/atom
DOS at the Fermi energy	1.37	states/eV/cell

```
2
Lattice="2.6151 0.0000 0.0000 -1.3075 2.2647 0.0000 0.0000 0.0000 4.1248" Properties=species:S:1:pos:R:3 pbc="T T T"
Rh 1.3075 0.7549 2.0624
Co 0.0000 0.0000 0.0000
```

# 7
This record from Alexandria via LeMat-Bulk describes a crystal of Ga9Ir2 relaxed with PBEsol. The functional is SCAN.

symmetry	P2_1/c (14)
DFT formation energy	-355	meV/atom
DOS at the Fermi energy	5.04	states/eV/cell

```
22
Lattice="-5.0408 -2.0740 3.3250 3.6190 -4.5432 2.6527 1.7571 5.8245 6.2968" Properties=species:S:1:pos:R:3 pbc="T T T"
Ga 2.1704 3.5976 7.9778
Ga 3.1898 -1.1426 5.3364
Ga -2.2103 -1.9358 2.7852
Ga -2.8545 0.3499 6.9381
Ga -3.0681 -2.2827 6.0353
Ga -1.8351 -4.3903 4.2967
Ga 0.5518 3.3147 5.5783
Ga 3.4034 1.4900 6.2392
Ga 0.9835 -1.0629 9.6326
Ga -0.2165 -4.1074 6.6962
Ga 0.0000 0.0000 0.0000
Ga -0.6482 0.2702 2.6419
Ga -1.6419 1.8753 4.8109
Ga -0.4453 -1.2677 7.1079
Ga 0.7806 0.4750 5.1666
Ga 2.5456 1.1431 9.4893
Ga 0.1279 -2.4084 4.6718
Ga 0.2074 1.6157 7.6027
Ir 1.9632 -0.2335 7.4088
Ir -1.6279 -0.5592 4.8657
Ir 2.3288 -2.6339 3.4398
Ir -1.9935 1.8412 8.8347
```

# 8
This record from Alexandria via LeMat-Bulk describes a crystal of BaBe2Cr relaxed with PBEsol. The functional is SCAN.

E above lowest polymorph	609	meV per atom
symmetry	I4/mmm (139)
DFT formation energy	888	meV/atom
DOS at the Fermi energy	3.26	states/eV/cell

```
4
Lattice="4.7446 0.0000 0.0000 -2.3723 4.2483 -0.0041 0.0000 2.6532 3.9334" Properties=species:S:1:pos:R:3 pbc="T T T"
Be 2.3723 4.1141 2.9480
Be 0.0000 2.7875 0.9813
Ba 0.0000 0.0000 0.0000
Cr 2.3723 1.3266 1.9667
```

# 9
This record from Alexandria via LeMat-Bulk describes a crystal of Ta2AgPbBr relaxed with PBEsol. The functional is SCAN.

formation energy (no corrections)	178	kJ/mol of atoms
symmetry	P4/mmm (123)
DOS at the Fermi energy	4.44	states/eV/cell

```
5
Lattice="4.8314 0.0000 0.0000 0.0000 5.0731 0.0000 0.0000 0.0000 5.0731" Properties=species:S:1:pos:R:3 pbc="T T T"
Ag 0.0000 0.0000 0.0000
Pb 2.4157 2.5365 2.5365
Br 2.4157 0.0000 0.0000
Ta 0.0000 2.5365 0.0000
Ta 0.0000 0.0000 2.5365
```

# 10
This record from Alexandria via LeMat-Bulk describes a crystal of BeBi3Br relaxed with PBEsol. The functional is SCAN.

formation energy (no corrections)	143	kJ/mol of atoms
symmetry	Pm-3m (221)
DOS at the Fermi energy	6.84	states/eV/cell

```
5
Lattice="5.6126 0.0000 0.0000 0.0000 5.6126 0.0000 0.0000 0.0000 5.6126" Properties=species:S:1:pos:R:3 pbc="T T T"
Be 2.8063 2.8063 2.8063
Bi 0.0000 2.8063 0.0000
Bi 2.8063 0.0000 0.0000
Bi 0.0000 0.0000 2.8063
Br 0.0000 0.0000 0.0000
```

# 11
This record from Alexandria via LeMat-Bulk describes a crystal of NaSb2PbO relaxed with PBEsol. The functional is SCAN.

formation energy (no corrections)	21	kJ/mol of atoms
symmetry	P4/mmm (123)
DOS at the Fermi energy	3.86	states/eV/cell

```
5
Lattice="-3.2312 2.3734 0.9228 -0.7779 -3.0349 5.0821 3.6126 3.8171 2.8325" Properties=species:S:1:pos:R:3 pbc="T T T"
O -1.6156 1.1867 0.4614
Na -0.1983 1.5778 4.4187
Sb -0.3890 -1.5175 2.5411
Sb 1.8063 1.9085 1.4162
Pb 0.0000 0.0000 0.0000
```

| no. | calculated volume (Å³/atom) |
| --- | --- |
| 1 | 20.061 |
| 2 | 18.333 |
| 3 | 18.571 |
| 4 | 12.897 |
| 5 | 36.894 |
| 6 | 12.214 |
| 7 | 16.196 |
| 8 | 19.834 |
| 9 | 24.869 |
| 10 | 35.360 |
| 11 | 29.328 |